Entry 1:
CaPbAu2 SCAN PBEsol geometry; D(E_F) = 1.48 states/eV per cell; formation energy = -0.597 eV per atom
1.0
-0.079 -1.795 3.499
4.305 0.610 0.410
-0.873 5.695 0.691
Pb Au Ca
1 2 1
Direct
0.396 0.500 0.792 Pb
0.825 0.000 0.650 Au
0.664 0.500 0.328 Au
0.103 0.000 0.206 Ca

---

Entry 2:
CaPd3Au SCAN PBEsol geometry; D(E_F) = 1.40 states/eV per cell; formation energy = 0.858 eV per atom
1.0
4.700 0.000 0.000
0.000 4.700 0.000
0.000 0.000 4.700
Pd Ca Au
3 1 1
Direct
0.000 0.000 0.500 Pd
0.000 0.500 0.000 Pd
0.500 0.000 0.000 Pd
0.000 0.000 0.000 Ca
0.500 0.500 0.500 Au

---

Entry 3:
CaPd2Au2 SCAN PBEsol geometry; D(E_F) = 2.60 states/eV per cell; formation energy = -0.500 eV per atom
1.0
-0.343 -3.148 0.525
3.082 -1.449 -6.677
6.785 -0.210 3.177
Au Ca Pd
4 2 4
Direct
0.500 0.167 0.667 Au
0.500 0.333 0.167 Au
0.500 0.667 0.833 Au
0.500 0.833 0.333 Au
0.000 0.000 0.000 Ca
0.000 0.500 0.500 Ca
0.000 0.871 0.629 Pd
0.000 0.629 0.129 Pd
0.000 0.129 0.371 Pd
0.000 0.371 0.871 Pd